## Nd2ZnCrO6 (PBE+U)

Data for a relaxed Nd2ZnCrO6 crystal.

Calculated total energy (eV for the cell shown): -145.7

The structure in POSCAR format:
```
Nd2ZnCrO6
1.0
5.492 0.000 0.000
0.000 5.699 0.000
-5.413 0.000 7.765
Nd Zn Cr O
4 2 2 12
Direct
0.231 0.059 0.248
0.231 0.441 0.748
0.769 0.559 0.252
0.769 0.941 0.752
0.000 0.000 0.500
0.000 0.500 0.000
0.500 0.000 0.000
0.500 0.500 0.500
0.159 0.197 0.950
0.159 0.303 0.450
0.263 0.718 0.949
0.263 0.782 0.449
0.355 0.027 0.761
0.355 0.473 0.261
0.645 0.527 0.739
0.645 0.973 0.239
0.737 0.218 0.551
0.737 0.282 0.051
0.841 0.697 0.550
0.841 0.803 0.050
```